The following is a DFT calculation (PBE) of a relaxed structure of PmNpTe3.

Unit cell a=7.8445 b=7.8445 c=21.5049 alpha=90.00 beta=90.00 gamma=120.00
Space group R-3 (No. 148, hexagonal axes)
Unique sites:
Pm: 0.0000 0.0000 0.1540 [6 per cell]
Np: 0.0000 0.0000 0.3422 [6 per cell]
Te: 0.0065 0.3130 0.2500 [18 per cell]

Properties
- Formation energy (no corrections): -963 meV per atom
- Offset from the most stable computed form: 0.30 kcal/mol of atoms


The following is a DFT calculation (PBE) of a relaxed structure of Pm2NpTe4.

Unit cell a=4.354 b=14.628 c=15.129 alpha=90.00 beta=90.00 gamma=90.00
Space group Cmcm (No. 63)
Unique sites:
Pm: 0.000 0.134 0.068 [8 per cell]
Np: 0.000 0.379 0.250 [4 per cell]
Te: 0.000 0.035 0.250 [4 per cell]
Te: 0.000 0.222 0.626 [8 per cell]
Te: 0.000 0.500 0.000 [4 per cell]

Properties
- Formation energy (no corrections): -1129 meV per atom


The following is a DFT calculation (PBE) of a relaxed structure of Pm6NpTe8.

Unit cell a=12.587 b=12.587 c=12.587 alpha=90.00 beta=90.00 gamma=90.00
Space group Fm-3m (No. 225)
Unique sites:
Pm: 0.000 0.250 0.250 [24 per cell]
Np: 0.000 0.000 0.000 [4 per cell]
Te: 0.000 0.000 0.254 [24 per cell]
Te: 0.250 0.250 0.250 [8 per cell]

Properties
- Formation energy (no corrections): -1319 meV per atom


The following is a DFT calculation (PBE) of a relaxed structure of PmNpTe3.

Unit cell a=8.302 b=11.307 c=7.339 alpha=90.00 beta=90.00 gamma=90.00
Space group Pnma (No. 62)
Unique sites:
Pm: 0.123 0.250 0.054 [4 per cell]
Np: 0.000 0.000 0.500 [4 per cell]
Te: 0.050 0.750 0.337 [4 per cell]
Te: 0.176 0.581 0.844 [8 per cell]

Properties
- Formation energy (no corrections): -975 meV per atom
- Offset from the most stable computed form: 0.00 kcal/mol of atoms


The following is a DFT calculation (PBE) of a relaxed structure of PmNp2Tl3Te6.

Unit cell a=7.809 b=13.524 c=8.589 alpha=90.00 beta=107.63 gamma=90.00
Space group C2/m (No. 12)
Unique sites:
Pm: 0.000 0.000 0.000 [2 per cell]
Np: 0.000 0.333 0.000 [4 per cell]
Tl: 0.000 0.166 0.500 [4 per cell]
Tl: 0.000 0.500 0.500 [2 per cell]
Te: 0.234 0.500 0.215 [4 per cell]
Te: 0.241 0.169 0.217 [8 per cell]

Properties
- Formation energy (no corrections): -727 meV per atom


The following is a DFT calculation (PBE) of a relaxed structure of PmThNp.

Unit cell a=11.560 b=3.522 c=8.583 alpha=90.00 beta=90.00 gamma=90.00
Space group Pnma (No. 62)
Unique sites:
Pm: 0.086 0.250 0.147 [4 per cell]
Th: 0.170 0.250 0.768 [4 per cell]
Np: 0.068 0.750 0.480 [4 per cell]

Properties
- Energy of formation: 304 meV/atom


The following is a DFT calculation (PBE) of a relaxed structure of PmTh2Np.

Unit cell a=3.7635 b=3.7635 c=31.1547 alpha=90.00 beta=90.00 gamma=120.00
Space group R-3m (No. 166, hexagonal axes)
Unique sites:
Pm: 0.0000 0.0000 0.0000 [3 per cell]
Th: 0.0000 0.0000 0.1127 [6 per cell]
Np: 0.0000 0.0000 0.5000 [3 per cell]

Properties
- Energy of formation: 892 meV/atom


The following is a DFT calculation (PBE) of a relaxed structure of PmNpZn2.

Unit cell a=5.140 b=5.140 c=3.541 alpha=90.00 beta=90.00 gamma=90.00
Space group P4/mmm (No. 123)
Unique sites:
Pm: 0.000 0.000 0.000 [1 per cell]
Np: 0.500 0.500 0.000 [1 per cell]
Zn: 0.000 0.500 0.500 [2 per cell]

Properties
- Energy of formation: 41 meV/atom


The following is a DFT calculation (PBE) of a relaxed structure of PmNpZn4.

Unit cell a=7.780 b=7.780 c=7.780 alpha=90.00 beta=90.00 gamma=90.00
Space group F-43m (No. 216)
Unique sites:
Pm: 0.000 0.000 0.000 [4 per cell]
Np: 0.250 0.250 0.750 [4 per cell]
Zn: 0.125 0.125 0.375 [16 per cell]

Properties
- Energy of formation: -67 meV/atom


The following is a DFT calculation (PBE) of a relaxed structure of PrNp4.

Unit cell a=5.477 b=5.477 c=5.477 alpha=90.00 beta=90.00 gamma=90.00
Space group Pm-3m (No. 221)
Unique sites:
Pr: 0.000 0.000 0.000 [1 per cell]
Np: 0.000 0.000 0.500 [3 per cell]
Np: 0.500 0.500 0.500 [1 per cell]

Properties
- Energy of formation: 1769 meV/atom


The following is a DFT calculation (PBE) of a relaxed structure of PrNpPt2.

Unit cell a=3.552 b=3.552 c=7.206 alpha=90.00 beta=90.00 gamma=90.00
Space group P4/mmm (No. 123)
Unique sites:
Pr: 0.000 0.000 0.000 [1 per cell]
Np: 0.000 0.000 0.500 [1 per cell]
Pt: 0.500 0.500 0.274 [2 per cell]

Properties
- Offset from the most stable computed form: 0.73 kcal/mol of atoms
- Energy of formation: -680 meV/atom


The following is a DFT calculation (PBE) of a relaxed structure of Pr2NpPt9.

Unit cell a=5.4538 b=5.4538 c=26.9018 alpha=90.00 beta=90.00 gamma=120.00
Space group R-3m (No. 166, hexagonal axes)
Unique sites:
Pr: 0.0000 0.0000 0.1389 [6 per cell]
Np: 0.0000 0.0000 0.0000 [3 per cell]
Pt: 0.0000 0.0000 0.3328 [6 per cell]
Pt: 0.0000 0.0000 0.5000 [3 per cell]
Pt: 0.0029 0.5014 0.9162 [18 per cell]

Properties
- Energy of formation: -759 meV/atom